Zn4Mo PBE-GGA optimized geometry; symmetry = Im-3m, No. 229; total DFT energy (no corrections) = -2.605 eV/atom; D(E_F) = 0.6392 states/eV/atom; crystal system = cubic
1.0
1.173 -3.112 3.972
-4.873 1.682 0.505
0.471 -2.620 -4.444
Mo Zn
1 4
direct
0.000 0.000 0.000 Mo
0.000 0.500 0.000 Zn
0.500 0.000 0.000 Zn
0.000 0.000 0.500 Zn
0.500 0.500 0.500 Zn

---

SrSc PBE-GGA optimized geometry; distance to the lowest polymorph of the same formula = 1.97 kcal/mol of atoms; symmetry = P-3m1, No. 164; D(E_F) = 2.0849 states/eV/atom; crystal system = trigonal
1.0
-1.296 1.549 3.118
1.830 -3.229 0.152
10.269 5.884 1.347
Sr Sc
2 2
direct
0.000 0.000 0.475 Sr
0.667 0.333 0.775 Sr
0.000 0.000 0.027 Sc
0.667 0.333 0.223 Sc

---

TlSnHAu2 PBE-GGA optimized geometry; symmetry = P4/mmm, No. 123; total DFT energy (no corrections) = -3.140 eV/atom; D(E_F) = 0.1166 states/eV/atom; crystal system = tetragonal
1.0
5.409 0.000 0.000
0.000 5.409 0.000
0.000 0.000 3.814
Au Sn Tl H
2 1 1 1
direct
0.500 0.000 0.000 Au
0.000 0.500 0.000 Au
0.000 0.000 0.000 Sn
0.500 0.500 0.500 Tl
0.000 0.000 0.500 H

---

BaNaCu PBE-GGA optimized geometry; distance to the lowest polymorph of the same formula = 3.22 kcal/mol of atoms; symmetry = F-43m, No. 216; D(E_F) = 0.3344 states/eV/atom; crystal system = cubic
1.0
5.365 0.000 0.000
2.683 4.647 0.000
2.683 1.549 4.381
Na Ba Cu
1 1 1
direct
0.500 0.500 0.500 Na
0.000 0.000 0.000 Ba
0.250 0.250 0.250 Cu

---

Sb2I2Br PBE-GGA optimized geometry; distance to the lowest polymorph of the same formula = 3.82 kcal/mol of atoms; symmetry = I4/mmm, No. 139; ΔE_f (raw) = 18 kJ/mol of atoms; D(E_F) = 1.3817 states/eV/atom; crystal system = tetragonal
1.0
4.336 0.000 0.000
0.000 4.336 0.000
2.168 2.168 9.205
Br Sb I
1 2 2
direct
0.000 0.000 0.000 Br
0.750 0.250 0.500 Sb
0.250 0.750 0.500 Sb
0.609 0.609 0.781 I
0.391 0.391 0.219 I

---

LiNd2H6O6 PBE-GGA optimized geometry; distance to the lowest polymorph of the same formula = 0.24 kcal/mol of atoms; symmetry = Pm, No. 6; D(E_F) = 0.0208 states/eV/atom; crystal system = monoclinic
1.0
3.844 0.000 0.000
0.000 6.679 0.015
0.000 0.920 7.701
H O Li Nd
6 6 1 2
direct
0.500 0.720 0.267 H
0.500 0.981 0.746 H
0.500 0.213 0.046 H
0.000 0.780 0.918 H
0.000 0.039 0.217 H
0.000 0.311 0.694 H
0.000 0.662 0.852 O
0.500 0.643 0.384 O
0.000 0.379 0.575 O
0.500 0.331 0.110 O
0.500 0.960 0.622 O
0.000 0.056 0.342 O
0.500 0.564 0.948 Li
0.000 0.751 0.554 Nd
0.500 0.268 0.401 Nd

---

Pr4Sm8Sc PBE-GGA optimized geometry; symmetry = R-3m, No. 166; total DFT energy (no corrections) = -4.355 eV/atom; D(E_F) = 1.6450 states/eV/atom; crystal system = trigonal
1.0
9.853 -0.001 -5.316
-6.360 9.213 -0.001
-2.423 -1.672 7.298
Sc Pr Sm
1 4 8
direct
0.000 0.500 0.500 Sc
0.000 0.500 0.000 Pr
0.500 0.500 0.000 Pr
0.500 0.000 0.000 Pr
0.000 0.000 0.000 Pr
0.008 0.761 0.769 Sm
0.520 0.760 0.280 Sm
0.480 0.240 0.720 Sm
0.008 0.247 0.769 Sm
0.478 0.239 0.231 Sm
0.992 0.239 0.231 Sm
0.992 0.753 0.231 Sm
0.522 0.761 0.769 Sm

---

BaAgMo2 PBE-GGA optimized geometry; distance to the lowest polymorph of the same formula = 14.77 kcal/mol of atoms; symmetry = C2/m, No. 12; D(E_F) = 1.2225 states/eV/atom; crystal system = monoclinic
1.0
-1.081 2.429 4.729
-3.067 -5.250 -0.883
1.523 -1.775 1.728
Mo Ag Ba
2 1 1
direct
0.000 0.000 0.000 Mo
0.500 0.000 0.500 Mo
0.000 0.500 0.500 Ag
0.500 0.500 0.000 Ba

---

BaPmCu2 PBE-GGA optimized geometry; distance to the lowest polymorph of the same formula = 2.35 kcal/mol of atoms; symmetry = P4/mmm, No. 123; D(E_F) = 0.9531 states/eV/atom; crystal system = tetragonal
1.0
-3.397 0.892 1.042
-0.926 -5.081 1.329
1.768 0.969 4.937
Cu Pm Ba
2 1 1
direct
0.000 0.000 0.500 Cu
0.000 0.500 0.000 Cu
0.500 0.500 0.500 Pm
0.500 0.000 0.000 Ba

---

CaCoC PBE-GGA optimized geometry; distance to the lowest polymorph of the same formula = 5.85 kcal/mol of atoms; symmetry = Pm, No. 6; D(E_F) = 0.7703 states/eV/atom; crystal system = monoclinic
1.0
-3.245 -0.241 -1.534
-0.588 -3.466 1.790
-1.658 3.069 5.398
Ca Co C
2 2 2
direct
0.787 0.500 0.331 Ca
0.993 0.500 0.828 Ca
0.534 0.000 0.999 Co
0.413 0.000 0.597 Co
0.280 0.000 0.308 C
0.063 0.000 0.113 C

---

RbMnCd2N PBE-GGA optimized geometry; symmetry = P4/mmm, No. 123; ΔE_f (raw) = 188 kJ/mol of atoms; D(E_F) = 2.3610 states/eV/atom; crystal system = tetragonal
1.0
-3.317 -5.752 -3.325
4.931 -4.460 2.796
-4.285 -0.987 5.984
Rb Mn Cd N
1 1 2 1
direct
0.000 0.000 0.000 Rb
0.000 0.500 0.000 Mn
0.500 0.000 0.000 Cd
0.000 0.000 0.500 Cd
0.500 0.500 0.500 N

---

TmBePt3 PBE-GGA optimized geometry; symmetry = Pm-3m, No. 221; total DFT energy (no corrections) = -6.110 eV/atom; D(E_F) = 0.6426 states/eV/atom; crystal system = cubic
1.0
4.345 0.000 0.000
0.000 4.345 0.000
0.000 0.000 4.345
Pt Be Tm
3 1 1
direct
0.000 0.500 0.000 Pt
0.500 0.000 0.000 Pt
0.000 0.000 0.500 Pt
0.000 0.000 0.000 Be
0.500 0.500 0.500 Tm

---

Repeat the fifth record exactly.
Sb2I2Br PBE-GGA optimized geometry; distance to the lowest polymorph of the same formula = 3.82 kcal/mol of atoms; symmetry = I4/mmm, No. 139; ΔE_f (raw) = 18 kJ/mol of atoms; D(E_F) = 1.3817 states/eV/atom; crystal system = tetragonal
1.0
4.336 0.000 0.000
0.000 4.336 0.000
2.168 2.168 9.205
Br Sb I
1 2 2
direct
0.000 0.000 0.000 Br
0.750 0.250 0.500 Sb
0.250 0.750 0.500 Sb
0.609 0.609 0.781 I
0.391 0.391 0.219 I